(1)
A plane-wave DFT calculation with PBE was carried out for a geometry-optimized YBeNiPb structure. Values from VASP.

The structure in Quantum ESPRESSO input format:
```
&SYSTEM
  ibrav = 0, nat = 4, ntyp = 4
/
ATOMIC_SPECIES
Y 88.91 Y.upf
Be 9.01 Be.upf
Ni 58.69 Ni.upf
Pb 207.20 Pb.upf
ATOMIC_POSITIONS angstrom
Y 0.000 0.000 0.000
Be 1.649 1.649 1.649
Ni 4.947 4.947 4.947
Pb 3.298 3.298 3.298
CELL_PARAMETERS angstrom
0.000 3.298 3.298
3.298 0.000 3.298
3.298 3.298 0.000
```

Its crystal system is cubic. The space-group type is No. 216. The spin magnetization comes out at 0.0 μB/f.u.

=====

(2)
A plane-wave DFT calculation with PBE was carried out for a geometry-optimized NbHgNO structure. Values from VASP.

The structure in Quantum ESPRESSO input format:
```
&SYSTEM
  ibrav = 0, nat = 8, ntyp = 4
/
ATOMIC_SPECIES
Nb 92.91 Nb.upf
Hg 200.59 Hg.upf
N 14.01 N.upf
O 16.00 O.upf
ATOMIC_POSITIONS angstrom
Nb 1.020 3.060 0.000
Nb 3.060 1.020 0.000
Hg 1.020 1.020 2.327
Hg 3.060 3.060 4.424
N 1.020 1.020 6.137
N 3.060 3.060 0.614
O 1.020 3.060 3.375
O 3.060 1.020 3.375
CELL_PARAMETERS angstrom
4.080 0.000 0.000
0.000 4.080 0.000
0.000 0.000 6.751
```

Its crystal system is tetragonal. The space-group type is No. 129. The spin magnetization comes out at 0.0 μB/f.u.

=====

(3)
A plane-wave DFT calculation with PBE was carried out for a geometry-optimized PrDyFe2Si4 structure. Values from VASP.

The structure in Quantum ESPRESSO input format:
```
&SYSTEM
  ibrav = 0, nat = 8, ntyp = 4
/
ATOMIC_SPECIES
Pr 140.91 Pr.upf
Dy 162.50 Dy.upf
Fe 55.84 Fe.upf
Si 28.09 Si.upf
ATOMIC_POSITIONS angstrom
Pr 0.000 0.000 0.000
Dy 2.012 0.000 3.513
Fe 0.000 0.000 12.910
Fe 2.012 0.000 6.965
Si 0.000 0.000 5.794
Si 0.000 0.000 10.693
Si 2.012 0.000 9.263
Si 2.012 0.000 14.019
CELL_PARAMETERS angstrom
4.024 0.000 0.000
0.000 2.067 8.207
0.000 -2.067 8.207
```

Its crystal system is orthorhombic. The space-group type is No. 38. The spin magnetization comes out at 1.5 μB/f.u.

=====

(4)
A plane-wave DFT calculation with PBE was carried out for a geometry-optimized LiHfTlS3 structure. Values from VASP.

The structure in Quantum ESPRESSO input format:
```
&SYSTEM
  ibrav = 0, nat = 12, ntyp = 4
/
ATOMIC_SPECIES
Li 6.94 Li.upf
Hf 178.49 Hf.upf
Tl 204.38 Tl.upf
S 32.06 S.upf
ATOMIC_POSITIONS angstrom
Li 1.875 6.297 7.512
Li 1.875 -6.297 2.504
Hf 1.875 0.000 0.000
Hf 1.875 0.000 5.008
Tl 1.875 3.785 2.504
Tl 1.875 -3.785 7.512
S 1.875 5.299 5.405
S 1.875 5.299 9.619
S 1.875 0.702 7.512
S 1.875 -0.702 2.504
S 1.875 -5.299 0.397
S 1.875 -5.299 4.611
CELL_PARAMETERS angstrom
1.875 -7.004 0.000
1.875 7.004 0.000
0.000 0.000 10.016
```

Its crystal system is orthorhombic. The space-group type is No. 63. The spin magnetization comes out at 0.0 μB/f.u.

=====

(5)
A plane-wave DFT calculation with PBE was carried out for a geometry-optimized LaThPb structure. Values from VASP.

The structure in Quantum ESPRESSO input format:
```
&SYSTEM
  ibrav = 0, nat = 3, ntyp = 3
/
ATOMIC_SPECIES
La 138.91 La.upf
Th 232.04 Th.upf
Pb 207.20 Pb.upf
ATOMIC_POSITIONS angstrom
La 0.000 0.000 0.000
Th 3.803 3.803 3.803
Pb 1.902 1.902 1.902
CELL_PARAMETERS angstrom
0.000 3.803 3.803
3.803 0.000 3.803
3.803 3.803 0.000
```

Its crystal system is cubic. The space-group type is No. 216. The spin magnetization comes out at 0.0 μB/f.u.

=====

(6)
A plane-wave DFT calculation with PBE was carried out for a geometry-optimized Ta2SiPd structure. Values from VASP.

The structure in Quantum ESPRESSO input format:
```
&SYSTEM
  ibrav = 0, nat = 4, ntyp = 3
/
ATOMIC_SPECIES
Ta 180.95 Ta.upf
Si 28.09 Si.upf
Pd 106.42 Pd.upf
ATOMIC_POSITIONS angstrom
Ta 0.000 0.000 0.000
Ta 1.596 1.596 1.596
Si 3.192 3.192 3.192
Pd 4.788 4.788 4.788
CELL_PARAMETERS angstrom
0.000 3.192 3.192
3.192 0.000 3.192
3.192 3.192 0.000
```

Its crystal system is cubic. The space-group type is No. 216. The spin magnetization comes out at 0.0 μB/f.u.

=====

| no. | total DFT energy (no corrections) (eV/atom) |
| --- | --- |
| 1 | -4.883 |
| 2 | -6.129 |
| 3 | -6.543 |
| 4 | -5.666 |
| 5 | -5.389 |
| 6 | -8.507 |